Entry 1:
A relaxed structure of Al2FeSbTe, computed with GGA-PBE.

a b c (Å): 5.380 5.380 4.879
angles (deg): 90.00 90.00 90.00
Fractional coordinates of all 5 atoms:
Al (0.000, 0.500, 0.000)
Al (0.500, 0.000, 0.000)
Fe (0.000, 0.000, 0.500)
Sb (0.000, 0.000, 0.000)
Te (0.500, 0.500, 0.500)

Calculated values
crystal system	tetragonal
formation energy (no corrections)	0.77	eV/atom
VASP energy	-3.8764	eV per atom

Entry 2:
A relaxed structure of Na4Dy3NpO8, computed with GGA-PBE.

a b c (Å): 6.886 6.886 6.886
angles (deg): 60.05 60.05 60.05
Fractional coordinates of all 16 atoms:
Na (0.000, 0.000, 0.000)
Na (0.000, 0.500, 0.500)
Na (0.500, 0.000, 0.500)
Na (0.500, 0.500, 0.000)
Dy (0.000, 0.000, 0.500)
Dy (0.000, 0.500, 0.000)
Dy (0.500, 0.000, 0.000)
Np (0.500, 0.500, 0.500)
O (0.235, 0.740, 0.740)
O (0.237, 0.237, 0.237)
O (0.260, 0.260, 0.765)
O (0.260, 0.765, 0.260)
O (0.740, 0.235, 0.740)
O (0.740, 0.740, 0.235)
O (0.763, 0.763, 0.763)
O (0.765, 0.260, 0.260)

Calculated values
crystal system	trigonal
formation energy (no corrections)	-2.64	eV/atom
VASP energy	-7.1162	eV per atom

Entry 3:
A relaxed structure of Mg3Si4, computed with GGA-PBE.

a b c (Å): 5.344 6.425 8.362
angles (deg): 99.48 92.99 100.24
Fractional coordinates of all 14 atoms:
Mg (0.000, 0.000, 0.000)
Mg (0.074, 0.284, 0.340)
Mg (0.167, 0.810, 0.334)
Mg (0.427, 0.043, 0.745)
Mg (0.631, 0.582, 0.410)
Mg (0.922, 0.303, 0.711)
Si (0.059, 0.452, 0.058)
Si (0.211, 0.609, 0.598)
Si (0.398, 0.754, 0.022)
Si (0.535, 0.171, 0.442)
Si (0.593, 0.650, 0.773)
Si (0.619, 0.418, 0.970)
Si (0.696, 0.911, 0.252)
Si (0.936, 0.864, 0.670)

Calculated values
crystal system	triclinic
offset from the most stable computed form	56	meV/atom
formation energy (no corrections)	0.11	eV/atom
VASP energy	-3.6739	eV per atom

Entry 4:
A relaxed structure of ThGa3Fe, computed with GGA-PBE.

a b c (Å): 8.377 4.139 10.664
angles (deg): 90.00 90.00 90.00
Fractional coordinates of all 20 atoms:
Th (0.193, 0.250, 0.006)
Th (0.307, 0.750, 0.506)
Th (0.693, 0.250, 0.494)
Th (0.807, 0.750, 0.994)
Ga (0.055, 0.250, 0.585)
Ga (0.117, 0.750, 0.783)
Ga (0.141, 0.750, 0.219)
Ga (0.359, 0.250, 0.719)
Ga (0.383, 0.250, 0.283)
Ga (0.445, 0.750, 0.085)
Ga (0.555, 0.250, 0.915)
Ga (0.617, 0.750, 0.717)
Ga (0.641, 0.750, 0.281)
Ga (0.859, 0.250, 0.781)
Ga (0.883, 0.250, 0.217)
Ga (0.945, 0.750, 0.415)
Fe (0.109, 0.250, 0.355)
Fe (0.391, 0.750, 0.855)
Fe (0.609, 0.250, 0.145)
Fe (0.891, 0.750, 0.645)

Calculated values
crystal system	orthorhombic
offset from the most stable computed form	29	meV/atom
ΔH_f (0 K)	-379	meV per atom
VASP energy	-5.3713	eV per atom